Computed, not measured: a relaxed MgTiCu2Te crystal at the PBE level of DFT.

Lattice parameters (Å, degrees): 4.785 4.785 5.154 90.00 90.00 90.00
Atoms (fractional coordinates):
Mg1 0.000 0.000 0.000
Ti1 0.500 0.500 0.500
Cu1 0.000 0.500 0.500
Cu2 0.500 0.000 0.500
Te1 0.500 0.500 0.000

Values from the calculation:
Its density is 4.60 g cm⁻³. The density of states at the Fermi level comes out at 3.02 states/eV/cell. As for the final energy: -3.646 eV per atom. The space group is P4/mmm, No. 123. The crystal system is tetragonal. The value obtained for the spin magnetization is 0.65 Bohr magnetons per cell.